Computed, not measured: DyNiAgF6 after structural relaxation at the PBE+U level of DFT.

```
DyNiAgF6
1.0
5.703 0.000 0.000
-2.851 4.939 0.000
0.000 0.000 9.979
F Dy Ag Ni
12 2 2 2
direct
0.021 0.378 0.640
0.622 0.979 0.860
0.378 0.021 0.140
0.378 0.357 0.360
0.021 0.643 0.860
0.643 0.622 0.140
0.979 0.622 0.360
0.643 0.021 0.360
0.357 0.979 0.640
0.622 0.643 0.640
0.979 0.357 0.140
0.357 0.378 0.860
0.667 0.333 0.750
0.333 0.667 0.250
0.000 0.000 0.000
0.000 0.000 0.500
0.333 0.667 0.750
0.667 0.333 0.250
```

Calculated values
Space-group type ... No. 163
VASP energy ... -5.09 eV/atom